Entry 1:
This record from Alexandria describes a relaxed TaGaI2N crystal. The functional is PBE.

Unit cell a=5.7745 b=5.7745 c=3.9495 alpha=90.00 beta=90.00 gamma=90.00
Space group P4/mmm (No. 123)
Symmetry-distinct sites (fractional):
Ta: 0.0000 0.0000 0.0000 x1
Ga: 0.5000 0.5000 0.5000 x1
I: 0.0000 0.5000 0.0000 x2
N: 0.0000 0.0000 0.5000 x1

Energy above the most stable polymorph in this dataset = 0 meV/atom
E = -26.2 eV per cell
Total magnetization = 0.195 Bohr magnetons per cell


Entry 2:
This record from Alexandria describes a relaxed TaGa2IN crystal. The functional is PBE.

Unit cell a=5.4990 b=5.4990 c=3.9703 alpha=90.00 beta=90.00 gamma=90.00
Space group P4/mmm (No. 123)
Symmetry-distinct sites (fractional):
Ta: 0.0000 0.0000 0.0000 x1
Ga: 0.0000 0.5000 0.0000 x2
I: 0.5000 0.5000 0.5000 x1
N: 0.0000 0.0000 0.5000 x1

E = -26.7 eV per cell
Total magnetization = 0.428 Bohr magnetons per cell


Entry 3:
This record from Alexandria describes a relaxed GaTcI2N crystal. The functional is PBE.

Unit cell a=5.6916 b=5.6916 c=3.7892 alpha=90.00 beta=90.00 gamma=90.00
Space group P4/mmm (No. 123)
Symmetry-distinct sites (fractional):
Ga: 0.0000 0.0000 0.0000 x1
Tc: 0.5000 0.5000 0.5000 x1
I: 0.0000 0.5000 0.5000 x2
N: 0.5000 0.5000 0.0000 x1

Energy above the most stable polymorph in this dataset = 0 meV/atom
E = -23.7 eV per cell
Total magnetization = 0.188 Bohr magnetons per cell


Entry 4:
This record from Alexandria describes a relaxed GaTcI2N crystal. The functional is PBE.

Unit cell a=5.8702 b=5.8702 c=3.5883 alpha=90.00 beta=90.00 gamma=90.00
Space group P4/mmm (No. 123)
Symmetry-distinct sites (fractional):
Ga: 0.0000 0.0000 0.0000 x1
Tc: 0.5000 0.5000 0.5000 x1
I: 0.0000 0.5000 0.0000 x2
N: 0.0000 0.0000 0.5000 x1

Energy above the most stable polymorph in this dataset = 850 meV/atom
E = -19.4 eV per cell
Total magnetization = 5.003 Bohr magnetons per cell